## LiCrOs2 (PBE-GGA)

Data for a relaxed LiCrOs2 crystal.

Results
For the offset from the most stable computed form, the calculation gives 22.9 kJ per mole of atoms. The space group is No. 119.

Lattice parameters (Å, degrees): 4.6695 4.6695 4.6695 134.15 134.15 66.85
Atoms (fractional coordinates):
Cr 0.5000 0.5000 0.0000
Li 0.7500 0.2500 0.5000
Os 0.0000 0.0000 0.0000
Os 0.2500 0.7500 0.5000


## ThScAlCu (PBE-GGA)

Data for a relaxed ThScAlCu crystal.

Results
Its total energy is -5.5901 eV/atom. The space group is No. 216.

Lattice parameters (Å, degrees): 4.9872 4.9872 4.9872 60.00 60.00 60.00
Atoms (fractional coordinates):
Sc 0.5000 0.5000 0.5000
Cu 0.2500 0.2500 0.2500
Th 0.0000 0.0000 0.0000
Al 0.7500 0.7500 0.7500


## Ga2CoReH (PBE-GGA)

Data for a relaxed Ga2CoReH crystal.

Results
Its total energy is -5.6693 eV/atom. The space group is No. 123.

Lattice parameters (Å, degrees): 4.2588 4.2588 3.1356 90.00 90.00 90.00
Atoms (fractional coordinates):
Re 0.5000 0.5000 0.5000
Co 0.0000 0.0000 0.5000
Ga 0.0000 0.5000 0.0000
Ga 0.5000 0.0000 0.0000
H 0.0000 0.0000 0.0000


| no. | mass density (g cm⁻³) | DOS(E_F) (states/eV per cell) |
| --- | --- | --- |
| 1 | 14.148 | 3.86 |
| 2 | 6.958 | 4.46 |
| 3 | 11.259 | 3.83 |